(1)
A geometry-optimized LaTb4In structure. Source: the Alexandria database, functional PBE.

Cell and atoms, written as CIF:
```
data_LaTb4In
_cell_length_a 4.8831
_cell_length_b 15.0456
_cell_length_c 10.0037
_cell_angle_alpha 90.00
_cell_angle_beta 90.00
_cell_angle_gamma 90.00
_space_group_name_H-M_alt 'C m c 21'
_space_group_IT_number 36
loop_
_space_group_symop_operation_xyz
'x,y,z'
'-x,-y,z+1/2'
'-x,y,z'
'x,-y,z+1/2'
'x+1/2,y+1/2,z'
'-x+1/2,-y+1/2,z+1/2'
'-x+1/2,y+1/2,z'
'x+1/2,-y+1/2,z+1/2'
loop_
_atom_site_label
_atom_site_fract_x
_atom_site_fract_y
_atom_site_fract_z
La1 0.0000 0.1687 0.0000
Tb1 0.0000 0.0061 0.7437
Tb2 0.0000 0.1660 0.4886
Tb3 0.0000 0.3265 0.7426
Tb4 0.0000 0.4965 0.9936
In1 0.0000 0.3361 0.2420
```

Crystal system: orthorhombic
Offset from the most stable computed form: 0.004 eV/atom
Calculated total energy: -4.50 eV/atom

***

(2)
A geometry-optimized Tb2Si4Ru5 structure. Source: the Alexandria database, functional PBE.

Cell and atoms, written as CIF:
```
data_Tb2Si4Ru5
_cell_length_a 5.8170
_cell_length_b 9.9547
_cell_length_c 12.8892
_cell_angle_alpha 90.00
_cell_angle_beta 90.00
_cell_angle_gamma 90.00
_space_group_name_H-M_alt 'F m m m'
_space_group_IT_number 69
_space_group_name_Hall '-F 2 2'
loop_
_atom_site_label
_atom_site_fract_x
_atom_site_fract_y
_atom_site_fract_z
Tb1 0.0000 0.0000 0.1296
Si1 0.0000 0.1481 0.3648
Ru1 0.0000 0.0000 0.5000
Ru2 0.2500 0.2500 0.0000
Ru3 0.2500 0.2500 0.2500
```

ΔE_f (raw): -0.7453 eV per atom
Crystal system: orthorhombic
Calculated total energy: -7.78 eV/atom

***

(3)
A geometry-optimized TlRuRh2 structure. Source: the Alexandria database, functional PBE.

Cell and atoms, written as CIF:
```
data_TlRuRh2
_cell_length_a 2.8932
_cell_length_b 2.8932
_cell_length_c 7.6990
_cell_angle_alpha 90.00
_cell_angle_beta 90.00
_cell_angle_gamma 90.00
_space_group_name_H-M_alt 'P 4 m m'
_space_group_IT_number 99
loop_
_space_group_symop_operation_xyz
'x,y,z'
'-y,x,z'
'-x,-y,z'
'y,-x,z'
'-x,y,z'
'y,x,z'
'x,-y,z'
'-y,-x,z'
loop_
_atom_site_label
_atom_site_fract_x
_atom_site_fract_y
_atom_site_fract_z
Tl1 0.0000 0.0000 0.0000
Ru1 0.5000 0.5000 0.7229
Rh1 0.0000 0.0000 0.5064
Rh2 0.5000 0.5000 0.2668
```

Crystal system: tetragonal
Offset from the most stable computed form: 0.105 eV/atom
Calculated total energy: -6.27 eV/atom

***

(4)
A geometry-optimized NdEr2In structure. Source: the Alexandria database, functional PBE.

Cell and atoms, written as CIF:
```
data_NdEr2In
_cell_length_a 3.4784
_cell_length_b 3.4784
_cell_length_c 35.6880
_cell_angle_alpha 90.00
_cell_angle_beta 90.00
_cell_angle_gamma 120.00
_space_group_name_H-M_alt 'R -3 m'
_space_group_IT_number 166
_space_group_name_Hall '-R 3 2"'
loop_
_atom_site_label
_atom_site_fract_x
_atom_site_fract_y
_atom_site_fract_z
Nd1 0.0000 0.0000 0.0000
Er1 0.0000 0.0000 0.0964
In1 0.0000 0.0000 0.5000
```

Crystal system: trigonal
Offset from the most stable computed form: 0.313 eV/atom
Calculated total energy: -4.10 eV/atom

***

(5)
A geometry-optimized CaLaErTh structure. Source: the Alexandria database, functional PBE.

Cell and atoms, written as CIF:
```
data_CaLaErTh
_cell_length_a 8.2207
_cell_length_b 8.2207
_cell_length_c 8.2207
_cell_angle_alpha 90.00
_cell_angle_beta 90.00
_cell_angle_gamma 90.00
_space_group_name_H-M_alt 'F -4 3 m'
_space_group_IT_number 216
_space_group_name_Hall 'F -4 2 3'
loop_
_atom_site_label
_atom_site_fract_x
_atom_site_fract_y
_atom_site_fract_z
Ca1 0.0000 0.0000 0.0000
La1 0.2500 0.2500 0.7500
Er1 0.2500 0.2500 0.2500
Th1 0.0000 0.0000 0.5000
```

Crystal system: cubic
Calculated total energy: -4.50 eV/atom

***

(6)
A geometry-optimized Cd4PdAu3 structure. Source: the Alexandria database, functional PBE.

Cell and atoms, written as CIF:
```
data_Cd4PdAu3
_cell_length_a 3.3794
_cell_length_b 7.7164
_cell_length_c 12.7598
_cell_angle_alpha 90.00
_cell_angle_beta 90.00
_cell_angle_gamma 90.00
_space_group_name_H-M_alt 'I m m m'
_space_group_IT_number 71
_space_group_name_Hall '-I 2 2'
loop_
_atom_site_label
_atom_site_fract_x
_atom_site_fract_y
_atom_site_fract_z
Cd1 0.0000 0.2062 0.1358
Pd1 0.0000 0.5000 0.0000
Au1 0.0000 0.0000 0.3228
Au2 0.0000 0.5000 0.5000
```

Crystal system: orthorhombic
Offset from the most stable computed form: 0.109 eV/atom
Calculated total energy: -2.46 eV/atom

***

(7)
A geometry-optimized CdIr2 structure. Source: the Alexandria database, functional PBE.

Cell and atoms, written as CIF:
```
data_CdIr2
_cell_length_a 2.8146
_cell_length_b 14.6063
_cell_length_c 4.7517
_cell_angle_alpha 90.00
_cell_angle_beta 90.00
_cell_angle_gamma 90.00
_space_group_name_H-M_alt 'C m c m'
_space_group_IT_number 63
_space_group_name_Hall '-C 2c 2'
loop_
_atom_site_label
_atom_site_fract_x
_atom_site_fract_y
_atom_site_fract_z
Cd1 0.0000 0.1002 0.2500
Ir1 0.0000 0.2258 0.7500
Ir2 0.0000 0.4293 0.2500
```

Crystal system: orthorhombic
Calculated total energy: -5.87 eV/atom

***

(8)
A geometry-optimized ScWBr2 structure. Source: the Alexandria database, functional PBE.

Cell and atoms, written as CIF:
```
data_ScWBr2
_cell_length_a 9.3447
_cell_length_b 3.2612
_cell_length_c 8.0575
_cell_angle_alpha 90.00
_cell_angle_beta 115.11
_cell_angle_gamma 90.00
_space_group_name_H-M_alt 'C 1 m 1'
_space_group_IT_number 8
loop_
_space_group_symop_operation_xyz
'x,y,z'
'x,-y,z'
'x+1/2,y+1/2,z'
'x+1/2,-y+1/2,z'
loop_
_atom_site_label
_atom_site_fract_x
_atom_site_fract_y
_atom_site_fract_z
Sc1 0.0000 0.0000 0.0000
W1 0.2353 0.0000 0.8761
Br1 0.1647 0.5000 0.6062
Br2 0.2809 0.5000 0.1689
```

ΔE_f (raw): 0.0577 eV per atom
Crystal system: monoclinic
Offset from the most stable computed form: 0.389 eV/atom
Calculated total energy: -5.60 eV/atom

***

(9)
A geometry-optimized Tc3SbS structure. Source: the Alexandria database, functional PBE.

Cell and atoms, written as CIF:
```
data_Tc3SbS
_cell_length_a 5.0083
_cell_length_b 5.0083
_cell_length_c 5.0083
_cell_angle_alpha 90.00
_cell_angle_beta 90.00
_cell_angle_gamma 90.00
_space_group_name_H-M_alt 'P m -3 m'
_space_group_IT_number 221
_space_group_name_Hall '-P 4 2 3'
loop_
_atom_site_label
_atom_site_fract_x
_atom_site_fract_y
_atom_site_fract_z
Tc1 0.0000 0.0000 0.5000
Sb1 0.0000 0.0000 0.0000
S1 0.5000 0.5000 0.5000
```

ΔE_f (raw): 2.1404 eV per atom
Crystal system: cubic
Offset from the most stable computed form: 1.650 eV/atom
Calculated total energy: -5.73 eV/atom

***

(10)
A geometry-optimized PmB3Rh3 structure. Source: the Alexandria database, functional PBE.

Cell and atoms, written as CIF:
```
data_PmB3Rh3
_cell_length_a 7.1409
_cell_length_b 7.1409
_cell_length_c 7.1409
_cell_angle_alpha 90.00
_cell_angle_beta 90.00
_cell_angle_gamma 90.00
_space_group_name_H-M_alt 'P 21 3'
_space_group_IT_number 198
_space_group_name_Hall 'P 2ac 2ab 3'
loop_
_atom_site_label
_atom_site_fract_x
_atom_site_fract_y
_atom_site_fract_z
Pm1 0.0516 0.4484 0.5516
B1 0.0422 0.8266 0.5517
Rh1 0.0862 0.5861 0.9138
Rh2 0.1857 0.1857 0.1857
Rh3 0.2094 0.7906 0.2906
```

Crystal system: cubic
Calculated total energy: -6.92 eV/atom

***

(11)
A geometry-optimized AlCr2Pt structure. Source: the Alexandria database, functional PBE.

Cell and atoms, written as CIF:
```
data_AlCr2Pt
_cell_length_a 3.2026
_cell_length_b 3.2026
_cell_length_c 5.7975
_cell_angle_alpha 90.00
_cell_angle_beta 90.00
_cell_angle_gamma 90.00
_space_group_name_H-M_alt 'P 4/m m m'
_space_group_IT_number 123
_space_group_name_Hall '-P 4 2'
loop_
_atom_site_label
_atom_site_fract_x
_atom_site_fract_y
_atom_site_fract_z
Al1 0.0000 0.0000 0.0000
Cr1 0.5000 0.5000 0.2510
Pt1 0.0000 0.0000 0.5000
```

Crystal system: tetragonal
Calculated total energy: -7.28 eV/atom

***

(12)
A geometry-optimized Nb2BN structure. Source: the Alexandria database, functional PBE.

Cell and atoms, written as CIF:
```
data_Nb2BN
_cell_length_a 4.8626
_cell_length_b 4.8626
_cell_length_c 9.9124
_cell_angle_alpha 90.00
_cell_angle_beta 90.00
_cell_angle_gamma 90.00
_space_group_name_H-M_alt 'I -4 2 d'
_space_group_IT_number 122
_space_group_name_Hall 'I -4 2bw'
loop_
_atom_site_label
_atom_site_fract_x
_atom_site_fract_y
_atom_site_fract_z
Nb1 0.2338 0.2500 0.1250
B1 0.0000 0.0000 0.5000
N1 0.0000 0.0000 0.0000
```

ΔE_f (raw): -0.2142 eV per atom
Crystal system: tetragonal
Offset from the most stable computed form: 0.528 eV/atom
Calculated total energy: -9.00 eV/atom